(1)
## NaB2Pd (PBEsol)

Data for an optimized crystal structure of NaB2Pd.

It has space group Fm-3m (No. 225), with a = 5.538 Å, b = 5.538 Å, c = 5.538 Å, α = 90.00°, β = 90.00° and γ = 90.00°. The distinct sites, in fractional coordinates, are Na at (0.000, 0.000, 0.000), B at (0.250, 0.250, 0.250) and Pd at (0.000, 0.000, 0.500).

***

(2)
## Na3BPd (PBEsol)

Data for an optimized crystal structure of Na3BPd.

It has space group Pm-3m (No. 221), with a = 5.232 Å, b = 5.232 Å, c = 5.232 Å, α = 90.00°, β = 90.00° and γ = 90.00°. The distinct sites, in fractional coordinates, are Na at (0.000, 0.000, 0.500), B at (0.500, 0.500, 0.500) and Pd at (0.000, 0.000, 0.000).

***

(3)
## NaBPt3 (PBEsol)

Data for an optimized crystal structure of NaBPt3.

The value obtained for the energy above the most stable polymorph in this dataset is 2901 meV per atom.

It has space group Pm-3m (No. 221), with a = 4.494 Å, b = 4.494 Å, c = 4.494 Å, α = 90.00°, β = 90.00° and γ = 90.00°. The distinct sites, in fractional coordinates, are Na at (0.000, 0.000, 0.000), B at (0.500, 0.500, 0.500) and Pt at (0.000, 0.000, 0.500).

***

(4)
## NaBPt3 (PBEsol)

Data for an optimized crystal structure of NaBPt3.

The value obtained for the energy above the most stable polymorph in this dataset is 0 meV per atom.

It has space group P6/mmm (No. 191), with a = 5.5278 Å, b = 5.5278 Å, c = 5.5070 Å, α = 90.00°, β = 90.00° and γ = 120.00°. The distinct sites, in fractional coordinates, are Na at (0.0000, 0.0000, 0.0000), Na at (0.0000, 0.0000, 0.5000), B at (0.3333, 0.6667, 0.0000) and Pt at (0.0000, 0.5000, 0.2587).

***

(5)
## Na3BPt (PBEsol)

Data for an optimized crystal structure of Na3BPt.

It has space group Pm-3m (No. 221), with a = 5.330 Å, b = 5.330 Å, c = 5.330 Å, α = 90.00°, β = 90.00° and γ = 90.00°. The distinct sites, in fractional coordinates, are Na at (0.000, 0.000, 0.500), B at (0.500, 0.500, 0.500) and Pt at (0.000, 0.000, 0.000).

***

(6)
## Rb2NaSrB (PBEsol)

Data for an optimized crystal structure of Rb2NaSrB.

It has space group P4/mmm (No. 123), with a = 6.814 Å, b = 6.814 Å, c = 5.011 Å, α = 90.00°, β = 90.00° and γ = 90.00°. The distinct sites, in fractional coordinates, are Rb at (0.000, 0.500, 0.000), Na at (0.000, 0.000, 0.000), Sr at (0.500, 0.500, 0.500) and B at (0.000, 0.000, 0.500).

***

(7)
## NaY2ReB (PBEsol)

Data for an optimized crystal structure of NaY2ReB.

It has space group P4/mmm (No. 123), with a = 5.059 Å, b = 5.059 Å, c = 4.472 Å, α = 90.00°, β = 90.00° and γ = 90.00°. The distinct sites, in fractional coordinates, are Na at (0.000, 0.000, 0.000), Y at (0.000, 0.500, 0.000), Re at (0.000, 0.000, 0.500) and B at (0.500, 0.500, 0.500).

***

(8)
## Na2ZnReB (PBEsol)

Data for an optimized crystal structure of Na2ZnReB.

It has space group P4/mmm (No. 123), with a = 5.558 Å, b = 5.558 Å, c = 4.785 Å, α = 90.00°, β = 90.00° and γ = 90.00°. The distinct sites, in fractional coordinates, are Na at (0.000, 0.500, 0.000), Zn at (0.000, 0.000, 0.500), Re at (0.000, 0.000, 0.000) and B at (0.500, 0.500, 0.500).

***

Number 1: calculated formation energy 0.89 eV/atom. Number 2: calculated formation energy 1.18 eV/atom. Number 3: calculated formation energy 2.48 eV/atom. Number 4: calculated formation energy -0.42 eV/atom. Number 5: calculated formation energy 1.21 eV/atom. Number 6: calculated formation energy 1.02 eV/atom. Number 7: calculated formation energy 2.32 eV/atom. Number 8: calculated formation energy 2.33 eV/atom.